Entry 1:
## TbCd4Ag7 (PBE-GGA)

Data for an optimized crystal structure of TbCd4Ag7.

a b c (Å): 10.8774 5.2650 10.3964
angles (deg): 90.00 120.46 90.00
Space group C2/m (No. 12)
One atom of each set of equivalent atoms:
Tb (0.0000, 0.0000, 0.0000) x2
Cd (0.0915, 0.5000, 0.3154) x4
Cd (0.1817, 0.0000, 0.7749) x4
Ag (0.0000, 0.5000, 0.0000) x2
Ag (0.1107, 0.0000, 0.4584) x4
Ag (0.1688, 0.5000, 0.6246) x4
Ag (0.1969, 0.5000, 0.9103) x4

Its formation energy is 0.05 eV/atom.

Entry 2:
## MgCrIn2 (PBE-GGA)

Data for an optimized crystal structure of MgCrIn2.

a b c (Å): 4.4159 4.4159 8.3876
angles (deg): 90.00 90.00 90.00
Space group I4/mmm (No. 139)
One atom of each set of equivalent atoms:
Mg (0.0000, 0.0000, 0.0000) x2
Cr (0.0000, 0.0000, 0.5000) x2
In (0.0000, 0.5000, 0.2500) x4

Its formation energy is 0.15 eV/atom.

Entry 3:
## Y2NiAs (PBE-GGA)

Data for an optimized crystal structure of Y2NiAs.

a b c (Å): 7.3131 7.3131 7.2002
angles (deg): 90.00 90.00 90.00
Space group I-42d (No. 122)
One atom of each set of equivalent atoms:
Y (0.2326, 0.2500, 0.1250) x8
Ni (0.0000, 0.0000, 0.0000) x4
As (0.0000, 0.0000, 0.5000) x4

Its formation energy is -0.46 eV/atom.

Final energy list, top to bottom, in eV/cell: -55.31; -32.17; -100.86